[1]
DFT (PBE-GGA) results for HgOs2Se after structural relaxation.

abc: 8.144 2.971 5.778
angles: 90.00 100.45 90.00
Space group C2/m (No. 12)
Symmetry-distinct sites (fractional):
Hg (0.000, 0.000, 0.000)
Os (0.246, 0.000, 0.696)
Se (0.000, 0.500, 0.500)

Density   15.9 g cm⁻³
Energy relative to the elements, uncorrected   78.71 kJ per mole of atoms

[2]
DFT (PBE-GGA) results for MgAl2Os after structural relaxation.

abc: 3.440 4.158 4.246
angles: 90.00 90.00 90.00
Space group Pmmm (No. 47)
Symmetry-distinct sites (fractional):
Mg (0.000, 0.000, 0.000)
Al (0.000, 0.500, 0.500)
Al (0.500, 0.500, 0.000)
Os (0.500, 0.000, 0.500)

Density   7.3 g cm⁻³
Distance to the lowest polymorph of the same formula   181 meV/atom
Formation energy   -0.058 eV/atom

[3]
DFT (PBE-GGA) results for Cd5In2Pd after structural relaxation.

abc: 7.291 8.176 7.164
angles: 90.00 117.39 90.00
Space group Cm (No. 8)
Symmetry-distinct sites (fractional):
Cd (0.000, 0.000, 0.000)
Cd (0.051, 0.500, 0.734)
Cd (0.250, 0.184, 0.813)
Cd (0.301, 0.500, 0.507)
In (0.395, 0.211, 0.293)
Pd (0.141, 0.000, 0.428)

Density   7.9 g cm⁻³
Formation energy   -0.072 eV/atom

[4]
DFT (PBE-GGA) results for TaBi after structural relaxation.

abc: 3.479 11.631 7.701
angles: 90.00 90.00 90.00
Space group Amm2 (No. 38)
Symmetry-distinct sites (fractional):
Ta (0.000, 0.000, 0.000)
Ta (0.500, 0.187, 0.012)
Bi (0.000, 0.157, 0.700)
Bi (0.500, 0.000, 0.310)

Density   12.5 g cm⁻³
Formation energy   0.483 eV/atom

[5]
DFT (PBE-GGA) results for CsAsPbSe2 after structural relaxation.

abc: 5.503 5.503 5.512
angles: 90.00 90.00 90.00
Space group P4/mmm (No. 123)
Symmetry-distinct sites (fractional):
Cs (0.000, 0.000, 0.000)
As (0.500, 0.500, 0.500)
Pb (0.500, 0.500, 0.000)
Se (0.000, 0.500, 0.500)

Density   5.7 g cm⁻³
Distance to the lowest polymorph of the same formula   0 meV/atom
Energy relative to the elements, uncorrected   -11.13 kJ per mole of atoms

[6]
DFT (PBE-GGA) results for Cs2AlAgBi after structural relaxation.

abc: 7.652 7.652 5.417
angles: 90.00 90.00 90.00
Space group P4/mmm (No. 123)
Symmetry-distinct sites (fractional):
Cs (0.000, 0.500, 0.000)
Al (0.000, 0.000, 0.500)
Ag (0.500, 0.500, 0.500)
Bi (0.000, 0.000, 0.000)

Density   3.2 g cm⁻³
Formation energy   0.207 eV/atom

[7]
DFT (PBE-GGA) results for LaNdSn2 after structural relaxation.

abc: 4.418 6.398 8.821
angles: 90.00 90.00 90.00
Space group Pmc2_1 (No. 26)
Symmetry-distinct sites (fractional):
La (0.000, 0.130, 0.000)
Nd (0.500, 0.371, 0.634)
Sn (0.000, 0.402, 0.358)
Sn (0.500, 0.101, 0.277)

Density   6.9 g cm⁻³
Formation energy   -0.788 eV/atom

[8]
DFT (PBE-GGA) results for DyY4S2 after structural relaxation.

abc: 3.726 5.677 18.178
angles: 90.00 90.00 90.00
Space group Immm (No. 71)
Symmetry-distinct sites (fractional):
Dy (0.000, 0.000, 0.000)
Y (0.000, 0.500, 0.097)
Y (0.000, 0.500, 0.315)
S (0.000, 0.000, 0.295)

Density   5.0 g cm⁻³
Energy relative to the elements, uncorrected   -98.49 kJ per mole of atoms

no.,magnetic moment (μB/f.u.),D(E_F) (states/eV/atom),calculated volume (Å³/cell)
1,0.0,0.63,137.5
2,0.0,0.60,60.7
3,0.0,0.40,379.2
4,0.0,0.64,311.6
5,0.0,0.37,166.9
6,0.0,0.16,317.2
7,0.0,0.79,249.3
8,0.2,1.00,384.5